(1)
Below is a geometry-optimized Dy6CuPd5 structure, with properties calculated at the PBE-GGA level.

## Properties
- Energy relative to the elements: -9.342 eV per formula unit
- E_tot: -5.585 eV/atom
- DOS(E_F): 8.0 states/eV per cell

Cell: 8.5881 8.5881 4.9645 Å, 106.70 106.70 48.07°
Fractional positions:
Dy  0.0843  0.5840  0.3341
Dy  0.2502  0.7498  0.0000
Dy  0.4160  0.9157  0.6659
Dy  0.5840  0.0843  0.3341
Dy  0.7498  0.2502  0.0000
Dy  0.9157  0.4160  0.6659
Cu  0.0000  0.0000  0.5000
Pd  0.1661  0.1661  0.1659
Pd  0.3311  0.3311  0.8311
Pd  0.5000  0.5000  0.5000
Pd  0.6689  0.6689  0.1689
Pd  0.8339  0.8339  0.8341

(2)
Below is a geometry-optimized PrNd4Ho5 structure, with properties calculated at the PBE-GGA level.

## Properties
- Energy relative to the elements: 1.942 eV per formula unit
- E_tot: -4.480 eV/atom
- DOS(E_F): 14.2 states/eV per cell
- Energy above the lowest structure with this stoichiometry: 0.000 eV per atom

Cell: 3.5518 8.8051 11.3083 Å, 89.78 89.97 78.50°
Fractional positions:
Pr  0.0000  0.0000  0.0000
Nd  0.1555  0.6871  0.2500
Nd  0.4701  0.0637  0.2528
Nd  0.5299  0.9363  0.7472
Nd  0.8445  0.3129  0.7500
Ho  0.0000  0.0000  0.5000
Ho  0.3243  0.3502  0.0532
Ho  0.3267  0.3460  0.4530
Ho  0.6733  0.6540  0.5470
Ho  0.6757  0.6498  0.9468

(3)
Below is a geometry-optimized RbReBr3 structure, with properties calculated at the PBE-GGA level.

## Properties
- E_tot: -3.949 eV/atom
- DOS(E_F): 1.6 states/eV per cell
- Energy above the lowest structure with this stoichiometry: 0.169 eV per atom
- Formation energy without anion corrections: -0.26 eV/atom

Cell: 5.3141 5.3141 5.3141 Å, 90.00 90.00 90.00°
Fractional positions:
Rb  0.0000  0.0000  0.0000
Re  0.5000  0.5000  0.5000
Br  0.0000  0.5000  0.5000
Br  0.5000  0.0000  0.5000
Br  0.5000  0.5000  0.0000

(4)
Below is a geometry-optimized AlAs5 structure, with properties calculated at the PBE-GGA level.

## Properties
- Energy relative to the elements: 0.485 eV per formula unit
- E_tot: -4.417 eV/atom
- DOS(E_F): 1.5 states/eV per cell
- Energy above the lowest structure with this stoichiometry: 0.000 eV per atom

Cell: 6.5357 6.5357 8.7424 Å, 130.24 130.24 31.75°
Fractional positions:
Al  0.0000  0.0000  0.0000
As  0.2092  0.2092  0.0154
As  0.3698  0.3698  0.7078
As  0.5841  0.5841  0.7422
As  0.6585  0.6585  0.3540
As  0.9807  0.9807  0.2654

(5)
Below is a geometry-optimized Ce7SbCl12 structure, with properties calculated at the PBE-GGA level.

## Properties
- E_tot: -5.236 eV/atom
- DOS(E_F): 45.4 states/eV per cell
- Formation energy without anion corrections: -1.84 eV/atom

Cell: 9.3040 9.3040 9.3040 Å, 109.19 109.19 109.19°
Fractional positions:
Ce  0.0000  0.0000  0.0000
Ce  0.1297  0.3509  0.4373
Ce  0.3509  0.4373  0.1297
Ce  0.4373  0.1297  0.3509
Ce  0.5627  0.8703  0.6491
Ce  0.6491  0.5627  0.8703
Ce  0.8703  0.6491  0.5627
Sb  0.5000  0.5000  0.5000
Cl  0.0131  0.3360  0.1037
Cl  0.1037  0.0131  0.3360
Cl  0.2014  0.7137  0.5757
Cl  0.2863  0.4243  0.7986
Cl  0.3360  0.1037  0.0131
Cl  0.4243  0.7986  0.2863
Cl  0.5757  0.2014  0.7137
Cl  0.6640  0.8963  0.9869
Cl  0.7137  0.5757  0.2014
Cl  0.7986  0.2863  0.4243
Cl  0.8963  0.9869  0.6640
Cl  0.9869  0.6640  0.8963

(6)
Below is a geometry-optimized CsMn2TlI8 structure, with properties calculated at the PBE-GGA level.

## Properties
- E_tot: -3.388 eV/atom
- DOS(E_F): 11.7 states/eV per cell
- Formation energy without anion corrections: -0.56 eV/atom

Cell: 11.7122 11.7122 11.7122 Å, 38.29 38.29 38.29°
Fractional positions:
Cs  0.0000  0.0000  0.0000
Mn  0.2547  0.2547  0.2547
Mn  0.7453  0.7453  0.7453
Tl  0.5000  0.5000  0.5000
I  0.0737  0.8042  0.4314
I  0.1958  0.5686  0.9263
I  0.3342  0.3342  0.3342
I  0.4314  0.0737  0.8042
I  0.5686  0.9263  0.1958
I  0.6658  0.6658  0.6658
I  0.8042  0.4314  0.0737
I  0.9263  0.1958  0.5686

(7)
Below is a geometry-optimized Tb4Dy2Y2Mg structure, with properties calculated at the PBE-GGA level.

## Properties
- Energy relative to the elements: 0.838 eV per formula unit
- E_tot: -4.601 eV/atom
- DOS(E_F): 9.4 states/eV per cell

Cell: 6.4191 6.4797 7.4298 Å, 74.50 74.63 86.63°
Fractional positions:
Tb  0.1672  0.2014  0.3019
Tb  0.3143  0.6628  0.4008
Tb  0.6857  0.3372  0.5992
Tb  0.8328  0.7986  0.6981
Dy  0.1359  0.1833  0.7833
Dy  0.8641  0.8167  0.2167
Y  0.2898  0.6325  0.8917
Y  0.7102  0.3675  0.1083
Mg  0.5000  0.0000  0.0000

Q: What is the formula in the sixth record?
A: CsMn2TlI8

Q: Look up the DOS(E_F) of the fourth one.
A: 1.5 states/eV per cell

Q: What is the DOS(E_F) in the second record?
A: 14.2 states/eV per cell